Entry 1:
Below is crystalline VP2H at its relaxed geometry, with properties calculated at the GGA-PBE level.

Cell lengths 3.095, 3.095, 6.754 Å; angles 76.76, 76.76, 60.00 degrees
Positions (direct):
P 0.913 0.913 0.261
H 0.000 0.000 0.000
V 0.500 0.500 0.500
P 0.087 0.087 0.739

Values from the calculation:
- Total energy: -0.4392 Ry per atom
- Relative energy among the computed polymorphs: 0.000 eV per formula unit
- SG: R-3m


Entry 2:
Below is crystalline V3PH at its relaxed geometry, with properties calculated at the GGA-PBE level.

Cell lengths 3.173, 6.104, 6.337 Å; angles 94.57, 104.50, 90.00 degrees
Positions (direct):
V 0.173 0.619 0.346
H 0.425 0.324 0.851
H 0.575 0.676 0.149
V 0.632 0.968 0.265
P 0.198 0.242 0.395
P 0.802 0.758 0.605
V 0.368 0.032 0.735
V 0.009 0.256 0.017
V 0.827 0.381 0.654
V 0.991 0.744 0.983

Values from the calculation:
- Total energy: -0.5494 Ry per atom
- Relative energy among the computed polymorphs: 0.619 eV per formula unit
- SG: C2/m


Entry 3:
Below is crystalline V12P3H5 at its relaxed geometry, with properties calculated at the GGA-PBE level.

Cell lengths 10.466, 10.466, 10.466 Å; angles 109.47, 109.47, 109.47 degrees
Positions (direct):
V 0.888 0.589 0.908
H 0.250 0.875 0.125
V 0.908 0.089 0.888
P 0.750 0.875 0.625
V 0.112 0.411 0.092
V 0.589 0.701 0.681
V 0.181 0.092 0.980
H 0.625 0.875 0.250
V 0.612 0.592 0.911
H 0.125 0.375 0.250
V 0.980 0.388 0.299
V 0.819 0.911 0.299
V 0.612 0.020 0.201
V 0.799 0.480 0.388
V 0.112 0.701 0.520
P 0.250 0.625 0.875
H 0.375 0.125 0.750
V 0.911 0.092 0.612
H 0.250 0.375 0.625
H 0.125 0.750 0.375
H 0.000 0.000 0.000
P 0.625 0.375 0.750
V 0.388 0.980 0.799
P 0.875 0.125 0.250
V 0.520 0.201 0.112
H 0.875 0.250 0.625
V 0.681 0.201 0.589
V 0.681 0.480 0.592
H 0.750 0.125 0.875
P 0.375 0.625 0.250
H 0.375 0.250 0.125
V 0.701 0.589 0.181
P 0.250 0.125 0.375
V 0.020 0.612 0.701
V 0.819 0.908 0.020
V 0.908 0.819 0.520
H 0.750 0.625 0.375
V 0.411 0.112 0.592
V 0.408 0.020 0.319
V 0.299 0.411 0.819
V 0.480 0.799 0.888
V 0.092 0.911 0.112
V 0.201 0.520 0.612
V 0.319 0.520 0.408
H 0.500 0.000 0.500
H 0.000 0.500 0.500
V 0.408 0.388 0.589
V 0.980 0.592 0.181
P 0.875 0.750 0.125
V 0.589 0.888 0.408
V 0.411 0.299 0.319
V 0.092 0.181 0.480
H 0.625 0.750 0.875
P 0.625 0.250 0.375
V 0.089 0.908 0.388
V 0.799 0.319 0.911
V 0.701 0.112 0.020
V 0.319 0.799 0.411
H 0.500 0.000 0.000
V 0.592 0.612 0.411
V 0.089 0.181 0.201
P 0.750 0.375 0.125
V 0.181 0.089 0.701
V 0.299 0.888 0.980
V 0.020 0.408 0.819
H 0.000 0.500 0.000
H 0.875 0.625 0.750
V 0.888 0.299 0.480
V 0.911 0.819 0.799
V 0.201 0.681 0.089
P 0.125 0.875 0.750
V 0.592 0.980 0.681
P 0.125 0.250 0.875
V 0.520 0.319 0.908
H 0.500 0.500 0.000
H 0.500 0.500 0.500
V 0.388 0.408 0.089
H 0.000 0.000 0.500
P 0.375 0.750 0.625
V 0.480 0.681 0.092

Values from the calculation:
- Total energy: -0.5376 Ry per atom
- SG: Ia-3d


Entry 4:
Below is crystalline VPH at its relaxed geometry, with properties calculated at the GGA-PBE level.

Cell lengths 2.680, 2.680, 4.587 Å; angles 106.98, 106.98, 90.00 degrees
Positions (direct):
V 0.625 0.625 0.249
H 0.045 0.045 0.090
P 0.330 0.330 0.661

Values from the calculation:
- Total energy: -0.4375 Ry per atom
- Relative energy among the computed polymorphs: 1.422 eV per formula unit
- SG: I4mm


Entry 5:
Below is crystalline VPH at its relaxed geometry, with properties calculated at the GGA-PBE level.

Cell lengths 3.705, 3.705, 6.328 Å; angles 90.00, 90.00, 90.00 degrees
Positions (direct):
V 0.500 0.500 0.500
P 0.500 0.000 0.735
H 0.500 0.000 0.961
V 0.000 0.000 0.500
H 0.000 0.500 0.039
P 0.000 0.500 0.265

Values from the calculation:
- Total energy: -0.4498 Ry per atom
- Relative energy among the computed polymorphs: 0.921 eV per formula unit
- SG: P4/nmm


Entry 6:
Below is crystalline VPH2 at its relaxed geometry, with properties calculated at the GGA-PBE level.

Cell lengths 3.120, 3.120, 4.268 Å; angles 68.56, 68.56, 60.00 degrees
Positions (direct):
H 0.858 0.858 0.427
H 0.142 0.142 0.573
V 0.000 0.000 0.000
P 0.500 0.500 0.500

Values from the calculation:
- Total energy: -0.3644 Ry per atom
- Relative energy among the computed polymorphs: 0.000 eV per formula unit
- SG: R-3m


Entry 7:
Below is crystalline V5P4H at its relaxed geometry, with properties calculated at the GGA-PBE level.

Cell lengths 4.655, 5.669, 5.669 Å; angles 80.30, 65.76, 65.76 degrees
Positions (direct):
H 0.065 0.000 0.000
P 0.570 0.601 0.252
V 0.883 0.364 0.862
V 0.247 0.862 0.636
V 0.745 0.138 0.364
V 0.109 0.636 0.138
P 0.822 0.748 0.601
P 0.422 0.399 0.748
V 0.477 0.000 0.000
P 0.170 0.252 0.399

Values from the calculation:
- Total energy: -0.5468 Ry per atom
- SG: I4


Entry 8:
Below is crystalline V8P2H at its relaxed geometry, with properties calculated at the GGA-PBE level.

Cell lengths 4.018, 4.993, 7.695 Å; angles 115.70, 105.13, 90.00 degrees
Positions (direct):
V 0.576 0.376 0.152
P 0.841 0.334 0.681
V 0.968 0.188 0.936
V 0.224 0.314 0.448
P 0.159 0.666 0.319
V 0.424 0.624 0.848
V 0.663 0.974 0.327
V 0.337 0.026 0.673
V 0.032 0.812 0.064
V 0.776 0.686 0.552
H 0.500 0.000 0.000

Values from the calculation:
- Total energy: -0.6025 Ry per atom
- SG: C2/m


Entry 9:
Below is crystalline V5PH at its relaxed geometry, with properties calculated at the GGA-PBE level.

Cell lengths 5.318, 5.318, 7.238 Å; angles 67.96, 67.96, 66.74 degrees
Positions (direct):
V 0.995 0.614 0.118
V 0.204 0.551 0.498
V 0.614 0.995 0.618
P 0.379 0.621 0.750
H 0.000 0.000 0.000
P 0.621 0.379 0.250
V 0.005 0.386 0.882
V 0.983 0.017 0.750
V 0.017 0.983 0.250
V 0.386 0.005 0.382
V 0.796 0.449 0.502
V 0.551 0.204 0.998
V 0.449 0.796 0.002
H 0.000 0.000 0.500

Values from the calculation:
- Total energy: -0.5816 Ry per atom
- SG: C2/c


Entry 10:
Below is crystalline VP2H at its relaxed geometry, with properties calculated at the GGA-PBE level.

Cell lengths 4.046, 4.046, 4.046 Å; angles 60.00, 60.00, 60.00 degrees
Positions (direct):
H 0.000 0.000 0.000
P 0.750 0.750 0.750
V 0.500 0.500 0.500
P 0.250 0.250 0.250

Values from the calculation:
- Total energy: -0.3951 Ry per atom
- Relative energy among the computed polymorphs: 2.403 eV per formula unit
- SG: Fm-3m


Entry 11:
Below is crystalline V8PH2 at its relaxed geometry, with properties calculated at the GGA-PBE level.

Cell lengths 4.522, 5.690, 5.690 Å; angles 64.96, 92.96, 92.96 degrees
Positions (direct):
V 0.237 0.395 0.868
V 0.687 0.166 0.166
V 0.763 0.605 0.132
H 0.683 0.788 0.788
V 0.763 0.132 0.605
P 0.000 0.000 0.000
V 0.237 0.868 0.395
V 0.767 0.611 0.611
V 0.313 0.834 0.834
H 0.317 0.212 0.212
V 0.233 0.389 0.389

Values from the calculation:
- Total energy: -0.5701 Ry per atom
- SG: C2/m


Entry 12:
Below is crystalline PHW2 at its relaxed geometry, with properties calculated at the GGA-PBE level.

Cell lengths 4.762, 4.762, 5.943 Å; angles 66.38, 66.38, 90.00 degrees
Positions (direct):
P 0.750 0.250 0.500
W 0.528 0.125 0.250
W 0.375 0.472 0.750
W 0.875 0.778 0.750
P 0.000 0.000 0.000
W 0.222 0.625 0.250
H 0.250 0.750 0.500
H 0.500 0.500 0.000

Values from the calculation:
- Total energy: -0.5984 Ry per atom
- Relative energy among the computed polymorphs: 0.000 eV per formula unit
- SG: I-42d


Entry 13:
Below is crystalline PHW2 at its relaxed geometry, with properties calculated at the GGA-PBE level.

Cell lengths 3.425, 3.425, 6.271 Å; angles 74.15, 74.15, 60.00 degrees
Positions (direct):
P 0.500 0.500 0.500
H 0.000 0.000 0.000
W 0.902 0.902 0.295
W 0.098 0.098 0.705

Values from the calculation:
- Total energy: -0.5981 Ry per atom
- Relative energy among the computed polymorphs: 0.012 eV per formula unit
- SG: R-3m


Entry 14:
Below is crystalline P2HW at its relaxed geometry, with properties calculated at the GGA-PBE level.

Cell lengths 4.149, 4.149, 4.149 Å; angles 60.00, 60.00, 60.00 degrees
Positions (direct):
P 0.750 0.750 0.750
H 0.000 0.000 0.000
P 0.250 0.250 0.250
W 0.500 0.500 0.500

Values from the calculation:
- Total energy: -0.4498 Ry per atom
- Relative energy among the computed polymorphs: 0.851 eV per formula unit
- SG: Fm-3m


Entry 15:
Below is crystalline PHW at its relaxed geometry, with properties calculated at the GGA-PBE level.

Cell lengths 5.115, 5.115, 6.581 Å; angles 67.13, 67.13, 60.00 degrees
Positions (direct):
H 0.532 0.952 0.239
H 0.952 0.277 0.239
P 0.400 0.063 0.762
H 0.277 0.532 0.239
P 0.775 0.400 0.762
W 0.174 0.174 0.479
P 0.063 0.775 0.762
W 0.323 0.323 0.031
W 0.653 0.653 0.041

Values from the calculation:
- Total energy: -0.5036 Ry per atom
- SG: R3


Entry 16:
Below is crystalline P3HW at its relaxed geometry, with properties calculated at the GGA-PBE level.

Cell lengths 4.698, 4.698, 4.698 Å; angles 90.00, 90.00, 90.00 degrees
Positions (direct):
H 0.500 0.500 0.500
W 0.000 0.000 0.000
P 0.000 0.500 0.000
P 0.000 0.000 0.500
P 0.500 0.000 0.000

Values from the calculation:
- Total energy: -0.4111 Ry per atom
- Relative energy among the computed polymorphs: 0.000 eV per formula unit
- SG: Pm-3m


Entry 17:
Below is crystalline PHW2 at its relaxed geometry, with properties calculated at the GGA-PBE level.

Cell lengths 4.097, 4.097, 4.097 Å; angles 60.00, 60.00, 60.00 degrees
Positions (direct):
W 0.750 0.750 0.750
W 0.250 0.250 0.250
P 0.500 0.500 0.500
H 0.000 0.000 0.000

Values from the calculation:
- Total energy: -0.5979 Ry per atom
- Relative energy among the computed polymorphs: 0.026 eV per formula unit
- SG: Fm-3m


Entry 18:
Below is crystalline PHW3 at its relaxed geometry, with properties calculated at the GGA-PBE level.

Cell lengths 3.983, 3.983, 3.983 Å; angles 90.00, 90.00, 90.00 degrees
Positions (direct):
W 0.500 0.000 0.000
W 0.000 0.500 0.000
P 0.500 0.500 0.500
H 0.000 0.000 0.000
W 0.000 0.000 0.500

Values from the calculation:
- Total energy: -0.6583 Ry per atom
- Relative energy among the computed polymorphs: 0.000 eV per formula unit
- SG: Pm-3m


Entry 19:
Below is crystalline P2HW at its relaxed geometry, with properties calculated at the GGA-PBE level.

Cell lengths 5.604, 5.604, 4.916 Å; angles 55.25, 55.25, 90.00 degrees
Positions (direct):
P 0.875 0.780 0.750
P 0.220 0.625 0.250
W 0.750 0.250 0.500
W 0.000 0.000 0.000
H 0.500 0.500 0.000
H 0.250 0.750 0.500
P 0.530 0.125 0.250
P 0.375 0.470 0.750

Values from the calculation:
- Total energy: -0.4654 Ry per atom
- Relative energy among the computed polymorphs: 0.000 eV per formula unit
- SG: I-42d


Entry 20:
Below is crystalline P3HW at its relaxed geometry, with properties calculated at the GGA-PBE level.

Cell lengths 3.906, 3.906, 3.906 Å; angles 90.00, 90.00, 90.00 degrees
Positions (direct):
W 0.500 0.500 0.500
H 0.000 0.000 0.000
P 0.000 0.500 0.000
P 0.500 0.000 0.000
P 0.000 0.000 0.500

Values from the calculation:
- Total energy: -0.4110 Ry per atom
- Relative energy among the computed polymorphs: 0.012 eV per formula unit
- SG: Pm-3m